Compound: Sm2SiBi
Source: Alexandria via LeMat-Bulk
Functional: PBE
Structure: optimized geometry

```
Sm2SiBi
1.0
-4.0198 -0.1837 1.4484
-0.9735 -2.5556 3.2881
-0.1991 4.6724 6.3539
Sm Si Bi
2 1 1
direct
0.7408 0.7408 0.7777
0.2592 0.2592 0.2223
0.0000 0.0000 0.0000
0.5000 0.5000 0.5000
```

Mass density ... 7.5 Mg/m³
Space-group type ... R-3m (166)
Spin magnetization ... 0.000 μB per formula unit
Uncorrected formation energy ... -15.87 kcal/mol of atoms